# MgAgI2O8

A geometry-optimized MgAgI2O8 structure (PBE-GGA, the Alexandria database).

Unit cell a=7.231 b=7.231 c=6.821 alpha=90.00 beta=90.00 gamma=90.00
Space group I-4m2 (No. 119)
Inequivalent atoms, fractional coordinates:
Mg1 0.000 0.000 0.000
Ag1 0.000 0.500 0.750
I1 0.000 0.000 0.500
I2 0.000 0.500 0.250
O1 0.000 0.190 0.678
O2 0.000 0.296 0.081

Output
Total DFT energy (no corrections): -0.1592 hartree per atom
Uncorrected formation energy: -0.397 eV per atom

# Mg2Ag2IO6

A geometry-optimized Mg2Ag2IO6 structure (PBE-GGA, the Alexandria database).

Unit cell a=5.487 b=9.262 c=6.325 alpha=90.00 beta=112.39 gamma=90.00
Space group C2/m (No. 12)
Inequivalent atoms, fractional coordinates:
Mg1 0.000 0.166 0.000
Ag1 0.000 0.185 0.500
I1 0.000 0.500 0.000
O1 0.080 0.339 0.820
O2 0.103 0.000 0.811

Output
Total DFT energy (no corrections): -0.1733 hartree per atom
Uncorrected formation energy: -1.062 eV per atom

# MgAg2PbI6

A geometry-optimized MgAg2PbI6 structure (PBE-GGA, the Alexandria database).

Unit cell a=17.827 b=13.464 c=7.846 alpha=90.00 beta=103.19 gamma=90.00
Space group C2/c (No. 15)
Inequivalent atoms, fractional coordinates:
Mg1 0.000 0.202 0.250
Ag1 0.182 0.499 0.375
Pb1 0.000 0.117 0.750
I1 0.077 0.287 0.557
I2 0.105 0.072 0.146
I3 0.186 0.367 0.125

Output
Total DFT energy (no corrections): -0.0945 hartree per atom
Uncorrected formation energy: -0.541 eV per atom

# Rb3MgAg2I6

A geometry-optimized Rb3MgAg2I6 structure (PBE-GGA, the Alexandria database).

Unit cell a=8.8467 b=8.8467 c=9.0676 alpha=90.00 beta=90.00 gamma=120.00
Space group P-3m1 (No. 164)
Inequivalent atoms, fractional coordinates:
Rb1 0.0000 0.0000 0.0000
Rb2 0.3333 0.6667 0.6152
Mg1 0.0000 0.0000 0.5000
Ag1 0.3333 0.6667 0.1970
I1 0.1591 0.3182 0.3034

Output
Total DFT energy (no corrections): -0.0897 hartree per atom
Uncorrected formation energy: -0.817 eV per atom

# Rb2MgAgI5

A geometry-optimized Rb2MgAgI5 structure (PBE-GGA, the Alexandria database).

Unit cell a=4.620 b=21.881 c=14.991 alpha=90.00 beta=90.00 gamma=90.00
Space group Cmc2_1 (No. 36)
Inequivalent atoms, fractional coordinates:
Rb1 0.000 0.120 0.000
Rb2 0.000 0.127 0.617
Mg1 0.000 0.209 0.324
Ag1 0.000 0.435 0.732
I1 0.000 0.076 0.341
I2 0.000 0.288 0.956
I3 0.000 0.299 0.686
I4 0.000 0.340 0.310
I5 0.000 0.500 0.074

Output
Total DFT energy (no corrections): -0.0965 hartree per atom
Uncorrected formation energy: -1.055 eV per atom

# Rb2MgAg2I6

A geometry-optimized Rb2MgAg2I6 structure (PBE-GGA, the Alexandria database).

Unit cell a=15.183 b=8.454 c=8.447 alpha=90.00 beta=121.73 gamma=90.00
Space group C2/m (No. 12)
Inequivalent atoms, fractional coordinates:
Rb1 0.243 0.000 0.209
Mg1 0.000 0.000 0.500
Ag1 0.061 0.500 0.217
I1 0.053 0.237 0.792
I2 0.227 0.000 0.629

Output
Total DFT energy (no corrections): -0.0937 hartree per atom
Uncorrected formation energy: -0.865 eV per atom

# MgAgSI

A geometry-optimized MgAgSI structure (PBE-GGA, the Alexandria database).

Unit cell a=4.4306 b=4.4306 c=38.7853 alpha=90.00 beta=90.00 gamma=120.00
Space group R-3m (No. 166, hexagonal axes)
Inequivalent atoms, fractional coordinates:
Mg1 0.0000 0.0000 0.1982
Ag1 0.0000 0.0000 0.4120
S1 0.0000 0.0000 0.1324
I1 0.0000 0.0000 0.2842

Output
Total DFT energy (no corrections): -0.1186 hartree per atom
Uncorrected formation energy: -0.697 eV per atom

# MgAgSbI2

A geometry-optimized MgAgSbI2 structure (PBE-GGA, the Alexandria database).

Unit cell a=5.709 b=5.709 c=5.645 alpha=90.00 beta=90.00 gamma=90.00
Space group P4/mmm (No. 123)
Inequivalent atoms, fractional coordinates:
Mg1 0.000 0.000 0.000
Ag1 0.500 0.500 0.500
Sb1 0.000 0.000 0.500
I1 0.000 0.500 0.000

Output
Polymorph energy (0 for the lowest one): 0 meV/atom
Total DFT energy (no corrections): -0.0771 hartree per atom
Uncorrected formation energy: 0.235 eV per atom

# MgAgSeI

A geometry-optimized MgAgSeI structure (PBE-GGA, the Alexandria database).

Unit cell a=4.5741 b=4.5741 c=40.0820 alpha=90.00 beta=90.00 gamma=120.00
Space group R-3m (No. 166, hexagonal axes)
Inequivalent atoms, fractional coordinates:
Mg1 0.0000 0.0000 0.1974
Ag1 0.0000 0.0000 0.4050
Se1 0.0000 0.0000 0.1301
I1 0.0000 0.0000 0.2844

Output
Total DFT energy (no corrections): -0.1111 hartree per atom
Uncorrected formation energy: -0.653 eV per atom

# MgTaAg2I

A geometry-optimized MgTaAg2I structure (PBE-GGA, the Alexandria database).

Unit cell a=4.929 b=4.929 c=5.431 alpha=90.00 beta=90.00 gamma=90.00
Space group P4/mmm (No. 123)
Inequivalent atoms, fractional coordinates:
Mg1 0.000 0.000 0.000
Ta1 0.000 0.000 0.500
Ag1 0.000 0.500 0.000
I1 0.500 0.500 0.500

Output
Total DFT energy (no corrections): -0.1077 hartree per atom
Uncorrected formation energy: 1.210 eV per atom

# MgAgTe2I

A geometry-optimized MgAgTe2I structure (PBE-GGA, the Alexandria database).

Unit cell a=5.497 b=5.497 c=5.742 alpha=90.00 beta=90.00 gamma=90.00
Space group P4/mmm (No. 123)
Inequivalent atoms, fractional coordinates:
Mg1 0.000 0.000 0.000
Ag1 0.500 0.500 0.500
Te1 0.000 0.500 0.000
I1 0.000 0.000 0.500

Output
Polymorph energy (0 for the lowest one): 0 meV/atom
Total DFT energy (no corrections): -0.0823 hartree per atom
Uncorrected formation energy: 0.215 eV per atom

# MgAgTe2I

A geometry-optimized MgAgTe2I structure (PBE-GGA, the Alexandria database).

Unit cell a=5.495 b=5.495 c=5.596 alpha=90.00 beta=90.00 gamma=90.00
Space group P4/mmm (No. 123)
Inequivalent atoms, fractional coordinates:
Mg1 0.000 0.000 0.000
Ag1 0.500 0.500 0.500
Te1 0.000 0.500 0.500
I1 0.500 0.500 0.000

Output
Polymorph energy (0 for the lowest one): 71 meV/atom
Total DFT energy (no corrections): -0.0797 hartree per atom
Uncorrected formation energy: 0.286 eV per atom

# MgTl2AgI5

A geometry-optimized MgTl2AgI5 structure (PBE-GGA, the Alexandria database).

Unit cell a=4.482 b=20.740 c=14.922 alpha=90.00 beta=90.00 gamma=90.00
Space group Cmc2_1 (No. 36)
Inequivalent atoms, fractional coordinates:
Mg1 0.000 0.213 0.000
Tl1 0.000 0.108 0.653
Tl2 0.000 0.130 0.289
Ag1 0.000 0.439 0.412
I1 0.000 0.072 0.027
I2 0.000 0.279 0.635
I3 0.000 0.297 0.365
I4 0.000 0.353 0.980
I5 0.000 0.496 0.751

Output
Total DFT energy (no corrections): -0.0940 hartree per atom
Uncorrected formation energy: -0.676 eV per atom

# MgTl3Ag3I8

A geometry-optimized MgTl3Ag3I8 structure (PBE-GGA, the Alexandria database).

Unit cell a=15.512 b=8.914 c=9.600 alpha=90.00 beta=122.45 gamma=90.00
Space group C2/m (No. 12)
Inequivalent atoms, fractional coordinates:
Mg1 0.000 0.000 0.000
Tl1 0.000 0.000 0.500
Tl2 0.250 0.250 0.500
Ag1 0.000 0.500 0.000
Ag2 0.250 0.250 0.000
I1 0.012 0.242 0.796
I2 0.228 0.000 0.202
I3 0.236 0.500 0.205

Output
Total DFT energy (no corrections): -0.0920 hartree per atom
Uncorrected formation energy: -0.526 eV per atom

# MnAgI6

A geometry-optimized MnAgI6 structure (PBE-GGA, the Alexandria database).

Unit cell a=6.469 b=6.469 c=7.714 alpha=93.75 beta=93.51 gamma=100.09
Space group P-1 (No. 2)
Inequivalent atoms, fractional coordinates:
Mn1 0.000 0.000 0.000
Ag1 0.500 0.500 0.500
I1 0.014 0.675 0.769
I2 0.323 0.987 0.231
I3 0.336 0.334 0.783

Output
Polymorph energy (0 for the lowest one): 10 meV/atom
Total DFT energy (no corrections): -0.1019 hartree per atom
Uncorrected formation energy: -0.108 eV per atom

# MnAg2I4

A geometry-optimized MnAg2I4 structure (PBE-GGA, the Alexandria database).

Unit cell a=6.594 b=6.594 c=6.668 alpha=90.00 beta=90.00 gamma=90.00
Space group P-42m (No. 111)
Inequivalent atoms, fractional coordinates:
Mn1 0.000 0.000 0.000
Ag1 0.000 0.500 0.000
I1 0.233 0.233 0.248

Output
Total DFT energy (no corrections): -0.1229 hartree per atom
Uncorrected formation energy: -0.335 eV per atom

# Mn2AgI5

A geometry-optimized Mn2AgI5 structure (PBE-GGA, the Alexandria database).

Unit cell a=14.108 b=7.919 c=7.059 alpha=90.00 beta=119.57 gamma=90.00
Space group Cm (No. 8)
Inequivalent atoms, fractional coordinates:
Mn1 0.000 0.000 0.000
Mn2 0.095 0.500 0.593
Ag1 0.094 0.500 0.162
I1 0.126 0.243 0.906
I2 0.297 0.500 0.618
I3 0.469 0.253 0.258

Output
Total DFT energy (no corrections): -0.1422 hartree per atom
Uncorrected formation energy: -0.253 eV per atom

# Mn3Ag5I12

A geometry-optimized Mn3Ag5I12 structure (PBE-GGA, the Alexandria database).

Unit cell a=18.395 b=18.395 c=18.395 alpha=90.00 beta=90.00 gamma=90.00
Space group Ia-3d (No. 230)
Inequivalent atoms, fractional coordinates:
Mn1 0.000 0.250 0.125
Ag1 0.000 0.000 0.000
Ag2 0.000 0.250 0.375
I1 0.014 0.030 0.343

Output
Total DFT energy (no corrections): -0.1166 hartree per atom
Uncorrected formation energy: -0.154 eV per atom

# MnAgI6

A geometry-optimized MnAgI6 structure (PBE-GGA, the Alexandria database).

Unit cell a=6.892 b=7.166 c=7.741 alpha=63.20 beta=64.23 gamma=88.60
Space group P-1 (No. 2)
Inequivalent atoms, fractional coordinates:
Mn1 0.000 0.000 0.000
Ag1 0.500 0.500 0.000
I1 0.029 0.223 0.605
I2 0.245 0.766 0.827
I3 0.399 0.257 0.838

Output
Polymorph energy (0 for the lowest one): 0 meV/atom
Total DFT energy (no corrections): -0.1023 hartree per atom
Uncorrected formation energy: -0.119 eV per atom

| no. | spin magnetization (μB per atom) |
| --- | --- |
| 1 | 0.05 |
| 2 | 0.00 |
| 3 | 0.00 |
| 4 | 0.00 |
| 5 | 0.00 |
| 6 | 0.00 |
| 7 | 0.00 |
| 8 | 0.27 |
| 9 | 0.00 |
| 10 | 0.51 |
| 11 | 0.00 |
| 12 | 0.00 |
| 13 | 0.00 |
| 14 | 0.00 |
| 15 | 0.57 |
| 16 | 0.71 |
| 17 | 1.25 |
| 18 | 0.70 |
| 19 | 0.43 |